Below is an optimized crystal structure of Hf2Mg3TaN6, with properties calculated at the GGA-PBE level.

Fermi-level density of states: 2.36 states/eV per cell
formation energy from raw total energies: -16.0 eV/f.u.

Unit cell a=7.043 b=7.043 c=6.313 alpha=102.91 beta=102.91 gamma=25.84
Fractional coordinates of all 12 atoms:
Hf 0.166 0.166 0.333
Hf 0.834 0.834 0.667
Mg 0.166 0.166 0.832
Mg 0.500 0.500 0.500
Mg 0.834 0.834 0.168
Ta 0.500 0.500 0.000
N 0.001 0.001 0.239
N 0.332 0.332 0.423
N 0.339 0.339 0.916
N 0.661 0.661 0.084
N 0.668 0.668 0.577
N 0.999 0.999 0.761